1.
A plane-wave DFT calculation with GGA-PBE was carried out for a relaxed structure of ZnCu3Mo.

a = 4.294 Å, b = 4.294 Å, c = 4.294 Å
α = 90.00°, β = 90.00°, γ = 90.00°
Space group Pm-3m (No. 221)
Inequivalent atoms, fractional coordinates:
Zn: 0.000 0.000 0.000 (multiplicity 1)
Cu: 0.000 0.000 0.500 (multiplicity 3)
Mo: 0.500 0.500 0.500 (multiplicity 1)

V: 15.831 A^3/atom

***

2.
A plane-wave DFT calculation with GGA-PBE was carried out for a relaxed structure of ZnCu3Mo.

a = 4.702 Å, b = 4.702 Å, c = 4.702 Å
α = 90.00°, β = 90.00°, γ = 90.00°
Space group Pm-3m (No. 221)
Inequivalent atoms, fractional coordinates:
Zn: 0.000 0.000 0.000 (multiplicity 1)
Cu: 0.000 0.500 0.500 (multiplicity 3)
Mo: 0.500 0.500 0.500 (multiplicity 1)

V: 20.785 A^3/atom

***

Out of the structures above, which one is the least stable? Solution: 2.